[1]
Compound: Ac6HgPt2Rh3
Source: Alexandria
Functional: GGA-PBE
Structure: optimized geometry

Calculated values
Volume ... 30.089 A^3/atom
ΔH_f (0 K) ... -0.765 eV per atom
Theoretical density ... 10.4 g/cm3
Fermi-level density of states ... 6.408 states/eV per cell

Cell lengths 4.3440, 8.9232, 9.8543 Å; angles 103.92, 102.73, 90.00 degrees
Last column: nearest neighbours and their distance in Å.
Sites, in units of the cell vectors:
Hg  0.5000  0.0000  0.0000  6 Ac 3.30-3.32
Ac  0.6669  0.5867  0.3337  3 Rh 3.10-3.11, 3 Pt 3.13-3.15
Ac  0.9989  0.2779  0.9978  3 Rh 2.94-3.03, 1 Pt 3.11
Ac  0.6783  0.0857  0.3565  3 Rh 2.96-3.09, 2 Pt 3.14
Ac  0.3331  0.4133  0.6663  3 Rh 3.10-3.11, 3 Pt 3.13-3.15
Ac  0.0011  0.7221  0.0022  3 Rh 2.94-3.03, 1 Pt 3.11
Ac  0.3217  0.9143  0.6435  3 Rh 2.96-3.09, 2 Pt 3.14
Pt  0.8348  0.6693  0.6696  6 Ac 3.11-3.15
Pt  0.1652  0.3307  0.3304  6 Ac 3.11-3.15
Rh  0.1631  0.8332  0.3262  6 Ac 2.96-3.10
Rh  0.8369  0.1668  0.6738  6 Ac 2.96-3.10
Rh  0.5000  0.5000  0.0000  6 Ac 2.94-3.11

=====

[2]
Compound: Li2CaReI
Source: Alexandria
Functional: GGA-PBE
Structure: optimized geometry

Calculated values
Volume ... 29.225 A^3/atom
Energy relative to the elements, uncorrected ... 4.400 eV per formula unit
Theoretical density ... 4.2 g/cm3
Fermi-level density of states ... 6.253 states/eV per cell

Cell lengths 4.9342, 6.0020, 4.9342 Å; angles 90.00, 90.00, 90.00 degrees
Last column: nearest neighbours and their distance in Å.
Sites, in units of the cell vectors:
Li  0.5000  0.0000  0.0000  2 I 2.47
Li  0.0000  0.0000  0.5000  2 I 2.47
Ca  0.0000  0.5000  0.0000  2 I 3.00
I  0.0000  0.0000  0.0000  4 Li 2.47
Re  0.5000  0.5000  0.5000  4 Ca 3.49, 8 Li 3.88

=====

[3]
Compound: SrScBr2
Source: Alexandria
Functional: GGA-PBE
Structure: optimized geometry

Calculated values
Volume ... 27.680 A^3/atom
Energy relative to the elements, uncorrected ... -3.861 eV per formula unit
Theoretical density ... 4.4 g/cm3
Polymorph energy (0 for the lowest one) ... 152 meV per atom
Fermi-level density of states ... 3.240 states/eV per cell

Cell lengths 4.9937, 4.9937, 6.5937 Å; angles 75.37, 75.37, 44.42 degrees
Last column: nearest neighbours and their distance in Å.
Sites, in units of the cell vectors:
Sr  0.2500  0.2500  0.2500  6 Br 3.21-3.27
Sc  0.7500  0.7500  0.7500  6 Br 2.92-3.18
Br  0.0182  0.0182  0.9660  3 Sc 2.92-3.18, 3 Sr 3.21-3.27
Br  0.4818  0.4818  0.5340  3 Sc 2.92-3.18, 3 Sr 3.21-3.27

=====

[4]
Compound: BeFeHg2
Source: Alexandria
Functional: GGA-PBE
Structure: optimized geometry

Calculated values
Volume ... 16.054 A^3/atom
ΔH_f (0 K) ... 0.522 eV per atom
Theoretical density ... 12.1 g/cm3
Fermi-level density of states ... 1.860 states/eV per cell

Cell lengths 3.7027, 4.1645, 4.1645 Å; angles 90.00, 90.00, 90.00 degrees
Last column: nearest neighbours and their distance in Å.
Sites, in units of the cell vectors:
Be  0.5000  0.5000  0.0000  8 Hg 2.79, 4 Fe 2.94
Hg  0.0000  0.0000  0.0000  4 Fe 2.79, 4 Be 2.79, 4 Hg 2.94
Hg  0.0000  0.5000  0.5000  4 Fe 2.79, 4 Be 2.79, 4 Hg 2.94
Fe  0.5000  0.0000  0.5000  8 Hg 2.79, 4 Be 2.94